Entry 1:
## NaReAgSeS2 (GGA-PBE)

Data for a relaxed structure of NaReAgSeS2.

Values from the calculation:
Calculated volume (Å³/atom): 21.279
VASP energy (eV/cell): -58.7

a b c (Å): 7.281 7.281 10.048
angles (deg): 90.00 90.00 151.36
Atoms (fractional coordinates):
Ag 0.406 0.594 0.250
Ag 0.594 0.406 0.750
Na 0.728 0.272 0.250
Na 0.272 0.728 0.750
Re 0.000 0.000 0.000
Re 0.000 0.000 0.500
S 0.381 0.619 0.015
S 0.381 0.619 0.485
S 0.619 0.381 0.515
S 0.619 0.381 0.985
Se 0.060 0.940 0.250
Se 0.940 0.060 0.750

***

Entry 2:
## TcSb2As (GGA-PBE)

Data for a relaxed structure of TcSb2As.

Values from the calculation:
Calculated volume (Å³/atom): 20.139
VASP energy (eV/cell): -21.1

a b c (Å): 4.848 4.848 4.848
angles (deg): 60.00 60.00 60.00
Atoms (fractional coordinates):
As 0.250 0.250 0.250
Sb 0.500 0.500 0.500
Sb 0.750 0.750 0.750
Tc 0.000 0.000 0.000

***

Entry 3:
## Y4Lu2Tl3C3 (GGA-PBE)

Data for a relaxed structure of Y4Lu2Tl3C3.

Values from the calculation:
Calculated volume (Å³/atom): 22.618
VASP energy (eV/cell): -149.0

a b c (Å): 6.229 6.229 16.547
angles (deg): 100.87 100.87 60.02
Atoms (fractional coordinates):
C 0.500 0.000 0.000
C 0.828 0.336 0.000
C 0.172 0.664 0.000
C 0.336 0.828 0.500
C 0.000 0.500 0.500
C 0.664 0.172 0.500
Lu 0.526 0.358 0.079
Lu 0.642 0.474 0.421
Lu 0.358 0.526 0.579
Lu 0.474 0.642 0.921
Tl 0.583 0.735 0.250
Tl 0.902 0.098 0.250
Tl 0.265 0.417 0.250
Tl 0.735 0.583 0.750
Tl 0.098 0.902 0.750
Tl 0.417 0.265 0.750
Y 0.194 0.030 0.085
Y 0.863 0.695 0.085
Y 0.305 0.137 0.415
Y 0.970 0.806 0.415
Y 0.030 0.194 0.585
Y 0.695 0.863 0.585
Y 0.137 0.305 0.915
Y 0.806 0.970 0.915

***

Entry 4:
## LaTmGe2Ir (GGA-PBE)

Data for a relaxed structure of LaTmGe2Ir.

Values from the calculation:
Calculated volume (Å³/atom): 22.802
VASP energy (eV/cell): -63.7

a b c (Å): 5.859 5.859 11.086
angles (deg): 115.24 115.24 42.35
Atoms (fractional coordinates):
Ge 0.619 0.619 0.107
Ge 0.043 0.043 0.413
Ge 0.957 0.957 0.587
Ge 0.381 0.381 0.893
Ir 0.553 0.553 0.299
Ir 0.447 0.447 0.701
La 0.293 0.293 0.348
La 0.707 0.707 0.652
Tm 0.910 0.910 0.108
Tm 0.090 0.090 0.892

***

Entry 5:
## Na3LuP2 (GGA-PBE)

Data for a relaxed structure of Na3LuP2.

Values from the calculation:
Calculated volume (Å³/atom): 26.145
VASP energy (eV/cell): -46.3

a b c (Å): 8.421 8.421 8.421
angles (deg): 132.21 68.70 133.73
Atoms (fractional coordinates):
Lu 0.250 0.250 0.000
Lu 0.750 0.750 0.000
Na 0.198 0.809 0.008
Na 0.698 0.691 0.389
Na 0.750 0.250 0.500
Na 0.250 0.750 0.500
Na 0.302 0.309 0.611
Na 0.802 0.191 0.992
P 0.393 0.713 0.106
P 0.107 0.213 0.320
P 0.893 0.787 0.680
P 0.607 0.287 0.894

***

Entry 6:
## TbBiN2O (GGA-PBE)

Data for a relaxed structure of TbBiN2O.

Values from the calculation:
Calculated volume (Å³/atom): 14.180
VASP energy (eV/cell): -133.6

a b c (Å): 5.884 8.491 5.676
angles (deg): 90.00 90.00 90.00
Atoms (fractional coordinates):
Bi 0.500 0.000 0.000
Bi 0.500 0.500 0.000
Bi 0.000 0.000 0.500
Bi 0.000 0.500 0.500
N 0.801 0.576 0.195
N 0.801 0.924 0.195
N 0.301 0.576 0.305
N 0.301 0.924 0.305
N 0.699 0.076 0.695
N 0.699 0.424 0.695
N 0.199 0.076 0.805
N 0.199 0.424 0.805
O 0.566 0.250 0.146
O 0.066 0.250 0.354
O 0.934 0.750 0.646
O 0.434 0.750 0.854
Tb 0.064 0.750 0.026
Tb 0.564 0.750 0.474
Tb 0.436 0.250 0.526
Tb 0.936 0.250 0.974

***

Entry 7:
## ZrCuNiPb (GGA-PBE)

Data for a relaxed structure of ZrCuNiPb.

Values from the calculation:
Distance to the lowest polymorph of the same formula (kJ/mol of formula units): 79
Calculated volume (Å³/atom): 17.655

a b c (Å): 4.640 4.640 4.640
angles (deg): 60.00 60.00 60.00
Atoms (fractional coordinates):
Cu 0.750 0.750 0.750
Ni 0.500 0.500 0.500
Pb 0.000 0.000 0.000
Zr 0.250 0.250 0.250

***

Entry 8:
## BaZn2Au2 (GGA-PBE)

Data for a relaxed structure of BaZn2Au2.

Values from the calculation:
Distance to the lowest polymorph of the same formula (kJ/mol of formula units): 0
Calculated volume (Å³/atom): 23.434

a b c (Å): 4.794 4.794 10.198
angles (deg): 90.00 90.00 90.00
Atoms (fractional coordinates):
Au 0.500 0.000 0.121
Au 0.000 0.000 0.500
Au 0.500 0.500 0.500
Au 0.000 0.500 0.879
Ba 0.000 0.500 0.254
Ba 0.500 0.000 0.746
Zn 0.000 0.000 0.000
Zn 0.500 0.500 0.000
Zn 0.500 0.000 0.381
Zn 0.000 0.500 0.619

***

Entry 9:
## SmAl3Ni2 (GGA-PBE)

Data for a relaxed structure of SmAl3Ni2.

Values from the calculation:
Calculated volume (Å³/atom): 16.175
VASP energy (eV/cell): -92.8

a b c (Å): 9.068 9.068 4.088
angles (deg): 90.00 90.00 119.99
Atoms (fractional coordinates):
Al 0.297 0.000 0.000
Al 0.703 0.000 0.000
Al 0.297 0.297 0.000
Al 0.000 0.297 0.000
Al 0.000 0.703 0.000
Al 0.703 0.703 0.000
Al 0.500 0.000 0.500
Al 0.000 0.500 0.500
Al 0.500 0.500 0.500
Ni 0.364 0.182 0.500
Ni 0.818 0.182 0.500
Ni 0.182 0.364 0.500
Ni 0.818 0.636 0.500
Ni 0.182 0.818 0.500
Ni 0.636 0.818 0.500
Sm 0.667 0.333 0.000
Sm 0.333 0.667 0.000
Sm 0.000 0.000 0.500

***

Entry 10:
## CdCoPtPb (GGA-PBE)

Data for a relaxed structure of CdCoPtPb.

Values from the calculation:
Distance to the lowest polymorph of the same formula (kJ/mol of formula units): 0
Calculated volume (Å³/atom): 18.085

a b c (Å): 4.677 4.677 4.677
angles (deg): 60.00 60.00 60.00
Atoms (fractional coordinates):
Cd 0.500 0.500 0.500
Co 0.750 0.750 0.750
Pb 0.000 0.000 0.000
Pt 0.250 0.250 0.250

***

Entry 11:
## InAsPtO (GGA-PBE)

Data for a relaxed structure of InAsPtO.

Values from the calculation:
Distance to the lowest polymorph of the same formula (kJ/mol of formula units): 314
Calculated volume (Å³/atom): 18.891

a b c (Å): 4.226 4.226 8.464
angles (deg): 90.00 90.00 90.00
Atoms (fractional coordinates):
As 0.000 0.500 0.285
As 0.500 0.000 0.715
In 0.000 0.000 0.500
In 0.500 0.500 0.500
O 0.000 0.000 0.000
O 0.500 0.500 0.000
Pt 0.500 0.000 0.057
Pt 0.000 0.500 0.943

***

Entry 12:
## Lu4AlAuN2 (GGA-PBE)

Data for a relaxed structure of Lu4AlAuN2.

Values from the calculation:
Calculated volume (Å³/atom): 18.240
VASP energy (eV/cell): -50.6

a b c (Å): 3.391 3.391 14.655
angles (deg): 90.00 90.00 120.00
Atoms (fractional coordinates):
Al 0.667 0.333 0.000
Au 0.000 0.000 0.500
Lu 0.000 0.000 0.166
Lu 0.667 0.333 0.348
Lu 0.667 0.333 0.652
Lu 0.000 0.000 0.834
N 0.333 0.667 0.252
N 0.333 0.667 0.748